First-principles (PBEsol) data for a geometry-optimized FeSbTe structure, as listed in Alexandria via LeMat-Bulk.

Cell: 6.432 6.278 6.460 Å, 90.00 115.04 90.00°
Space group P2_1/c (No. 14)
Inequivalent atoms, fractional coordinates:
Fe  0.223  0.001  0.209 x4
Sb  0.362  0.646  0.120 x4
Te  0.150  0.141  0.828 x4

Properties
Mass density   8.577 g cm⁻³
E_tot   -5.8960 eV per atom
Formation energy without anion corrections   -0.214 eV/atom